ScZn4Ag2 | PBE | optimized geometry

As for the symmetry: C2, No. 5. The density of states at the Fermi level comes out at 6.52 states/eV per cell. Its formation energy is -11.06 kJ per mole of atoms. Its calculated volume is 122 Å³/f.u. As for the crystal system: monoclinic.

Structure (extended XYZ):
```
14
Lattice="3.855 -4.745 0.000 3.855 4.745 0.000 -3.853 0.000 6.670" Properties=species:S:1:pos:R:3 pbc="T T T"
Sc 0.000 0.000 0.000
Sc 1.928 -2.369 3.335
Zn 0.086 0.007 2.981
Zn 2.398 -0.092 1.480
Zn 2.004 -2.368 0.355
Zn -0.462 -2.465 4.824
Zn 1.459 -0.092 5.190
Zn 3.771 0.007 3.690
Zn 4.319 -2.465 1.847
Zn 1.853 -2.368 6.315
Ag 0.545 2.371 4.768
Ag -1.384 -0.003 5.231
Ag 3.311 2.371 1.903
Ag 5.241 -0.003 1.439
```

ScZnAg3 | PBE | optimized geometry

As for the symmetry: Pm-3m, No. 221. The calculation puts the energy above the most stable polymorph in this dataset at 1104 meV per atom. The density of states at the Fermi level comes out at 2.68 states/eV per cell. Its formation energy is 90.83 kJ per mole of atoms. Its calculated volume is 144 Å³/f.u. As for the crystal system: cubic.

Structure (extended XYZ):
```
5
Lattice="5.246 0.000 0.000 0.000 5.246 0.000 0.000 0.000 5.246" Properties=species:S:1:pos:R:3 pbc="T T T"
Sc 0.000 0.000 0.000
Zn 2.623 2.623 2.623
Ag 0.000 0.000 2.623
Ag 0.000 2.623 0.000
Ag 2.623 0.000 0.000
```

> Which of these has the highest density of states at the Fermi level?

ScZn4Ag2

> The highest calculated volume belongs to which entry?

ScZnAg3

> Which value of density of states at the Fermi level does entry 2 give?

2.68 states/eV per cell